[1]
Crystalline Zn6ReO8 at its relaxed geometry. Source: the Open Quantum Materials Database, functional PBE-GGA.

Lattice parameters (Å, degrees): 8.612 8.612 8.612 90.00 90.00 90.00
Space group Fm-3m (No. 225)
Unique sites:
1 Zn 0.000 0.250 0.250 x24
2 Re 0.000 0.000 0.000 x4
3 O 0.000 0.000 0.237 x24
4 O 0.250 0.250 0.250 x8

Output
As for the total energy: -5.184 eV per atom.

[2]
Crystalline Zn2ReO4 at its relaxed geometry. Source: the Open Quantum Materials Database, functional PBE-GGA.

Lattice parameters (Å, degrees): 8.629 8.629 8.629 90.00 90.00 90.00
Space group Fd-3m (No. 227, origin choice 2)
Unique sites:
1 Zn 0.000 0.000 0.000 x16
2 Re 0.125 0.125 0.625 x8
3 O 0.005 0.005 0.245 x32

Output
As for the total energy: -5.951 eV per atom.

[3]
Crystalline ZnReO3 at its relaxed geometry. Source: the Open Quantum Materials Database, functional PBE-GGA.

Lattice parameters (Å, degrees): 5.4163 5.4163 12.2573 90.00 90.00 120.00
Space group R-3c (No. 167, hexagonal axes)
Unique sites:
1 Zn 0.0000 0.0000 0.2500 x6
2 Re 0.0000 0.0000 0.0000 x6
3 O 0.0000 0.3657 0.2500 x18

Output
As for the total energy: -6.891 eV per atom.

[4]
Crystalline Zr2Re2O5 at its relaxed geometry. Source: the Open Quantum Materials Database, functional PBE-GGA.

Lattice parameters (Å, degrees): 3.443 3.443 9.157 90.00 90.00 90.00
Space group P4/mmm (No. 123)
Unique sites:
1 Zr 0.000 0.000 0.226 x2
2 Re 0.500 0.500 0.000 x1
3 Re 0.500 0.500 0.500 x1
4 O 0.000 0.000 0.000 x1
5 O 0.000 0.500 0.371 x4

Output
As for the total energy: -8.805 eV per atom.